1.
The following is a PBE-GGA calculation of an optimized crystal structure of Ac6Tl2Cu, from the Alexandria database.

Lattice parameters (Å, degrees): 7.087 9.217 12.596 90.00 122.61 90.00
Sites, in units of the cell vectors:
1 Ac 0.074 0.178 0.446
2 Ac 0.074 0.322 0.946
3 Ac 0.317 0.679 0.444
4 Ac 0.317 0.821 0.944
5 Ac 0.390 0.035 0.266
6 Ac 0.390 0.465 0.766
7 Ac 0.610 0.535 0.234
8 Ac 0.610 0.965 0.734
9 Ac 0.683 0.179 0.056
10 Ac 0.683 0.321 0.556
11 Ac 0.926 0.678 0.054
12 Ac 0.926 0.822 0.554
13 Tl 0.171 0.121 0.751
14 Tl 0.171 0.379 0.251
15 Tl 0.829 0.621 0.749
16 Tl 0.829 0.879 0.249
17 Cu 0.000 0.000 0.000
18 Cu 0.000 0.500 0.500

- Calculated density: 8.8 g cm⁻³
- Spin magnetization: 0.00 μB per cell
- ΔE_f: -115.1 kJ/mol of formula units

=====

2.
The following is a PBE-GGA calculation of an optimized crystal structure of Ac2TlCu2, from the Alexandria database.

Lattice parameters (Å, degrees): 8.001 8.001 4.037 90.00 90.00 147.58
Sites, in units of the cell vectors:
1 Ac 0.132 0.868 0.000
2 Ac 0.868 0.132 0.000
3 Tl 0.500 0.500 0.500
4 Cu 0.291 0.709 0.500
5 Cu 0.709 0.291 0.500

- Calculated density: 9.4 g cm⁻³
- Relative energy among the computed polymorphs: 0.000 eV/atom
- Spin magnetization: 0.00 μB per cell
- ΔE_f: -123.8 kJ/mol of formula units